Entry 1:
! Rb3NaNp2Te6 | the Alexandria database | PBE | optimized geometry; values from VASP
&SYSTEM
  ibrav = 0, nat = 12, ntyp = 4
/
ATOMIC_SPECIES
Rb 85.47 Rb.upf
Na 22.99 Na.upf
Np 237.00 Np.upf
Te 127.60 Te.upf
CELL_PARAMETERS angstrom
3.9957 -6.9192 0.0000
3.9957 6.9192 0.0000
-2.6585 0.0000 8.4636
ATOMIC_POSITIONS crystal
Rb 0.0000 0.0000 0.0000
Rb 0.3416 0.6584 0.0000
Rb 0.6584 0.3416 0.0000
Na 0.5000 0.5000 0.5000
Np 0.1674 0.8326 0.5000
Np 0.8326 0.1674 0.5000
Te 0.0766 0.4332 0.3005
Te 0.2103 0.2103 0.6959
Te 0.4332 0.0766 0.3005
Te 0.5668 0.9234 0.6995
Te 0.7897 0.7897 0.3041
Te 0.9234 0.5668 0.6995
! - ΔE_f (raw): -0.89 eV per atom
! - Crystal system: monoclinic
! - Volume: 39.00 A^3/atom
! - Symmetry: C2/m (12)
! - Total magnetic moment: 6.000 μB/f.u.
! - DOS at the Fermi energy: 1.39 states/eV per atom

Entry 2:
! Tb3Sm2Ho5 | the Alexandria database | PBE | optimized geometry; values from VASP
&SYSTEM
  ibrav = 0, nat = 20, ntyp = 3
/
ATOMIC_SPECIES
Tb 158.93 Tb.upf
Sm 150.36 Sm.upf
Ho 164.93 Ho.upf
CELL_PARAMETERS angstrom
5.3037 -7.9386 0.0000
5.3037 7.9386 0.0000
-5.2848 0.0000 7.7611
ATOMIC_POSITIONS crystal
Tb 0.0207 0.9793 0.7500
Tb 0.2209 0.4661 0.4512
Tb 0.4661 0.2209 0.9512
Tb 0.5339 0.7791 0.0488
Tb 0.7791 0.5339 0.5488
Tb 0.9793 0.0207 0.2500
Sm 0.0136 0.2697 0.0465
Sm 0.2697 0.0136 0.5465
Sm 0.7303 0.9864 0.4535
Sm 0.9864 0.7303 0.9535
Ho 0.1433 0.3901 0.7795
Ho 0.2298 0.7702 0.7500
Ho 0.2752 0.7248 0.2500
Ho 0.3901 0.1433 0.2795
Ho 0.4735 0.5265 0.2500
Ho 0.5265 0.4735 0.7500
Ho 0.6099 0.8567 0.7205
Ho 0.7248 0.2752 0.7500
Ho 0.7702 0.2298 0.2500
Ho 0.8567 0.6099 0.2205
! - Crystal system: monoclinic
! - Volume: 32.68 A^3/atom
! - Formation energy: 19.0 kJ per mole of atoms
! - Symmetry: C2/c (15)
! - Total magnetic moment: 0.000 μB/f.u.
! - DOS at the Fermi energy: 1.90 states/eV per atom

Entry 3:
! SmY6Mg | the Alexandria database | PBE | optimized geometry; values from VASP
&SYSTEM
  ibrav = 0, nat = 8, ntyp = 3
/
ATOMIC_SPECIES
Sm 150.36 Sm.upf
Y 88.91 Y.upf
Mg 24.30 Mg.upf
CELL_PARAMETERS angstrom
4.6945 2.7104 3.3471
-4.6945 2.7104 3.3471
0.0000 -5.4207 3.3471
ATOMIC_POSITIONS crystal
Sm 0.0000 0.0000 0.0000
Y 0.0384 0.5434 0.2582
Y 0.2582 0.0384 0.5434
Y 0.4566 0.7418 0.9616
Y 0.5434 0.2582 0.0384
Y 0.7418 0.9616 0.4566
Y 0.9616 0.4566 0.7418
Mg 0.5000 0.5000 0.5000
! - Crystal system: trigonal
! - Volume: 31.94 A^3/atom
! - Formation energy: 11.1 kJ per mole of atoms
! - Symmetry: R-3 (148)
! - Total magnetic moment: 0.000 μB/f.u.
! - DOS at the Fermi energy: 1.48 states/eV per atom